# NaTbP4O12 meta-GGA SCAN PBEsol geometry
data_NaTbP4O12
_chemical_formula_sum 'Na4 Tb4 P16 O48'
_space_group_name_H-M_alt 'P 1 21/c 1'
_space_group_IT_number 14
_cell_length_a 7.1770
_cell_length_b 13.0479
_cell_length_c 12.0307
_cell_angle_alpha 90.00
_cell_angle_beta 126.00
_cell_angle_gamma 90.00
loop_
_space_group_symop_operation_xyz
'x,y,z'
'-x,-y,-z'
'-x,y+1/2,-z+1/2'
'x,-y+1/2,z+1/2'
loop_
_atom_site_label
_atom_site_fract_x
_atom_site_fract_y
_atom_site_fract_z
_atom_site_occupancy
Na1 0.0627 0.2232 0.0627 1
Tb1 0.4648 0.2199 0.9776 1
P1 0.0065 0.6037 0.2561 1
P2 0.1091 0.6156 0.7353 1
P3 0.3455 0.6285 0.1967 1
P4 0.4354 0.0924 0.7024 1
O1 0.0708 0.5126 0.7899 1
O2 0.0930 0.6272 0.1628 1
O3 0.1039 0.1492 0.8991 1
O4 0.1956 0.6118 0.4072 1
O5 0.2057 0.1671 0.2976 1
O6 0.2191 0.6891 0.8526 1
O7 0.2888 0.5815 0.7036 1
O8 0.3316 0.7110 0.1055 1
O9 0.3495 0.1637 0.5839 1
O10 0.3548 0.5205 0.1366 1
O11 0.3668 0.1131 0.7962 1
O12 0.4755 0.1336 0.1515 1
# Calculated density   3.63 g/cm3
# Energy relative to the elements, uncorrected   -2.718 eV per atom
# Calculated volume   12.7 A^3/atom
# D(E_F)   0.00 states/eV/atom